No. 1
The following is a DFT calculation (PBE) of an optimized crystal structure of SrCeGeN3.

Lattice parameters (Å, degrees): 7.5435 3.6834 7.7403 90.00 98.19 90.00
Atoms (fractional coordinates):
Sr 0.1650 0.2500 0.1819
Sr 0.8350 0.7500 0.8181
Ce 0.3684 0.7500 0.8360
Ce 0.6316 0.2500 0.1640
Ge 0.1041 0.2500 0.6029
Ge 0.8959 0.7500 0.3971
N 0.1255 0.2500 0.8440
N 0.1530 0.7500 0.5042
N 0.4264 0.7500 0.1249
N 0.5736 0.2500 0.8751
N 0.8470 0.2500 0.4958
N 0.8745 0.7500 0.1560

Total DFT energy (no corrections)   -6.859 eV/atom
SG   P2_1/m, No. 11

***

No. 2
The following is a DFT calculation (PBE) of an optimized crystal structure of SrCe2GeN4.

Lattice parameters (Å, degrees): 6.2826 6.2826 11.8471 90.00 90.00 146.26
Atoms (fractional coordinates):
Sr 0.0963 0.9037 0.7500
Sr 0.9037 0.0963 0.2500
Ce 0.3708 0.6292 0.5448
Ce 0.3708 0.6292 0.9552
Ce 0.6292 0.3708 0.0448
Ce 0.6292 0.3708 0.4552
Ge 0.1723 0.8277 0.2500
Ge 0.8277 0.1723 0.7500
N 0.0000 0.0000 0.0000
N 0.0000 0.0000 0.5000
N 0.2666 0.7334 0.1223
N 0.2666 0.7334 0.3777
N 0.4094 0.5906 0.7500
N 0.5906 0.4094 0.2500
N 0.7334 0.2666 0.6223
N 0.7334 0.2666 0.8777

Total DFT energy (no corrections)   -7.366 eV/atom
SG   Cmcm, No. 63

***

No. 3
The following is a DFT calculation (PBE) of an optimized crystal structure of Ce2TaGeN5.

Lattice parameters (Å, degrees): 7.1237 7.1237 10.3609 90.00 90.00 153.83
Atoms (fractional coordinates):
Ce 0.1222 0.8778 0.5000
Ce 0.1351 0.8649 0.0646
Ce 0.8649 0.1351 0.5646
Ce 0.8778 0.1222 0.0000
Ta 0.2245 0.7755 0.7883
Ta 0.7755 0.2245 0.2883
Ge 0.4944 0.5056 0.2570
Ge 0.5056 0.4944 0.7570
N 0.0585 0.9415 0.8235
N 0.2858 0.7142 0.4257
N 0.2964 0.7036 0.1537
N 0.3692 0.6308 0.7916
N 0.5001 0.4999 0.0753
N 0.4999 0.5001 0.5753
N 0.6308 0.3692 0.2916
N 0.7036 0.2964 0.6537
N 0.7142 0.2858 0.9257
N 0.9415 0.0585 0.3235

Total DFT energy (no corrections)   -8.818 eV/atom
SG   Cmc2_1, No. 36

***

No. 4
The following is a DFT calculation (PBE) of an optimized crystal structure of Tb2CeGeN4.

Lattice parameters (Å, degrees): 6.0219 6.0219 11.7048 90.00 90.00 145.88
Atoms (fractional coordinates):
Tb 0.1305 0.8695 0.5436
Tb 0.1305 0.8695 0.9564
Tb 0.8695 0.1305 0.0436
Tb 0.8695 0.1305 0.4564
Ce 0.4031 0.5969 0.7500
Ce 0.5969 0.4031 0.2500
Ge 0.3357 0.6643 0.2500
Ge 0.6643 0.3357 0.7500
N 0.0788 0.9212 0.7500
N 0.2298 0.7702 0.1277
N 0.2298 0.7702 0.3723
N 0.5000 0.5000 0.0000
N 0.5000 0.5000 0.5000
N 0.7702 0.2298 0.6277
N 0.7702 0.2298 0.8723
N 0.9212 0.0788 0.2500

Total DFT energy (no corrections)   -7.685 eV/atom
SG   Cmcm, No. 63

***

No. 5
The following is a DFT calculation (PBE) of an optimized crystal structure of Ce2Tc2Ge2N.

Lattice parameters (Å, degrees): 5.9874 5.9874 7.0833 124.46 124.46 39.60
Atoms (fractional coordinates):
Ce 0.0598 0.0598 0.2856
Ce 0.9402 0.9402 0.7144
Tc 0.3032 0.3032 0.9164
Tc 0.6968 0.6968 0.0836
Ge 0.3458 0.3458 0.3140
Ge 0.6542 0.6542 0.6860
N 0.5000 0.5000 0.0000

Total DFT energy (no corrections)   -7.875 eV/atom
SG   C2/m, No. 12

***

No. 6
The following is a DFT calculation (PBE) of an optimized crystal structure of CeTh2GeN5.

Lattice parameters (Å, degrees): 6.7437 6.7437 5.9026 90.00 90.00 90.00
Atoms (fractional coordinates):
Ce 0.0000 0.0000 0.0000
Ce 0.5000 0.5000 0.0000
Th 0.1766 0.3234 0.5000
Th 0.3234 0.8234 0.5000
Th 0.6766 0.1766 0.5000
Th 0.8234 0.6766 0.5000
Ge 0.0000 0.5000 0.0000
Ge 0.5000 0.0000 0.0000
N 0.0000 0.0000 0.5000
N 0.1448 0.6448 0.2271
N 0.1448 0.6448 0.7729
N 0.3552 0.1448 0.2271
N 0.3552 0.1448 0.7729
N 0.5000 0.5000 0.5000
N 0.6448 0.8552 0.2271
N 0.6448 0.8552 0.7729
N 0.8552 0.3552 0.2271
N 0.8552 0.3552 0.7729

Total DFT energy (no corrections)   -8.416 eV/atom
SG   P4/mbm, No. 127

***

No. 7
The following is a DFT calculation (PBE) of an optimized crystal structure of Ce2ThGeN5.

Lattice parameters (Å, degrees): 8.5616 8.5616 9.5485 90.00 90.00 157.30
Atoms (fractional coordinates):
Ce 0.0947 0.9053 0.5000
Ce 0.1048 0.8952 0.1297
Ce 0.8952 0.1048 0.6297
Ce 0.9053 0.0947 0.0000
Th 0.2193 0.7807 0.8321
Th 0.7807 0.2193 0.3321
Ge 0.4477 0.5523 0.2777
Ge 0.5523 0.4477 0.7777
N 0.0405 0.9595 0.8750
N 0.3099 0.6901 0.5021
N 0.3456 0.6544 0.1866
N 0.3622 0.6378 0.8356
N 0.4959 0.5041 0.6089
N 0.5041 0.4959 0.1089
N 0.6378 0.3622 0.3356
N 0.6544 0.3456 0.6866
N 0.6901 0.3099 0.0021
N 0.9595 0.0405 0.3750

Total DFT energy (no corrections)   -8.291 eV/atom
SG   Cmc2_1, No. 36

***

No. 8
The following is a DFT calculation (PBE) of an optimized crystal structure of CeThGeN.

Lattice parameters (Å, degrees): 4.2620 4.2620 9.8160 90.00 90.00 90.00
Atoms (fractional coordinates):
Ce 0.2500 0.7500 0.0000
Ce 0.7500 0.2500 0.0000
Th 0.2500 0.2500 0.3905
Th 0.7500 0.7500 0.6095
Ge 0.2500 0.2500 0.7895
Ge 0.7500 0.7500 0.2105
N 0.2500 0.7500 0.5000
N 0.7500 0.2500 0.5000

Total DFT energy (no corrections)   -7.534 eV/atom
SG   P4/nmm, No. 129

***

No. 9
The following is a DFT calculation (PBE) of an optimized crystal structure of Ce2TiGeN5.

Lattice parameters (Å, degrees): 7.1232 7.1232 9.9886 90.00 90.00 153.67
Atoms (fractional coordinates):
Ce 0.1174 0.8826 0.5000
Ce 0.1364 0.8636 0.1139
Ce 0.8636 0.1364 0.6139
Ce 0.8826 0.1174 0.0000
Ti 0.2174 0.7826 0.8263
Ti 0.7826 0.2174 0.3263
Ge 0.4497 0.5503 0.2685
Ge 0.5503 0.4497 0.7685
N 0.0489 0.9511 0.8661
N 0.2865 0.7135 0.4684
N 0.3157 0.6843 0.1910
N 0.3525 0.6475 0.8192
N 0.4946 0.5054 0.6001
N 0.5054 0.4946 0.1001
N 0.6475 0.3525 0.3192
N 0.6843 0.3157 0.6910
N 0.7135 0.2865 0.9684
N 0.9511 0.0489 0.3661

Total DFT energy (no corrections)   -8.407 eV/atom
SG   Cmc2_1, No. 36

***

No. 10
The following is a DFT calculation (PBE) of an optimized crystal structure of Ce2TmGeN5.

Lattice parameters (Å, degrees): 7.7327 7.7327 9.7724 90.00 90.00 155.02
Atoms (fractional coordinates):
Ce 0.1100 0.8900 0.5000
Ce 0.1206 0.8794 0.1185
Ce 0.8794 0.1206 0.6185
Ce 0.8900 0.1100 0.0000
Tm 0.2128 0.7872 0.8268
Tm 0.7872 0.2128 0.3268
Ge 0.4515 0.5485 0.2747
Ge 0.5485 0.4515 0.7747
N 0.0424 0.9576 0.8729
N 0.3003 0.6997 0.5018
N 0.3363 0.6637 0.1853
N 0.3603 0.6397 0.8404
N 0.4914 0.5086 0.6058
N 0.5086 0.4914 0.1058
N 0.6397 0.3603 0.3404
N 0.6637 0.3363 0.6853
N 0.6997 0.3003 0.0018
N 0.9576 0.0424 0.3729

Total DFT energy (no corrections)   -7.973 eV/atom
SG   Cmc2_1, No. 36

***

No. 11
The following is a DFT calculation (PBE) of an optimized crystal structure of NaCeGe2.

Lattice parameters (Å, degrees): 3.1875 3.1875 8.8207 90.00 90.00 90.00
Atoms (fractional coordinates):
Na 0.0000 0.0000 0.0000
Ce 0.0000 0.0000 0.5000
Ge 0.5000 0.5000 0.2537
Ge 0.5000 0.5000 0.7463

Offset from the most stable computed form   76 meV per atom
Calculated formation energy   -0.288 eV per atom
SG   P4/mmm, No. 123

***

No. 12
The following is a DFT calculation (PBE) of an optimized crystal structure of NaCe2Ge6.

Lattice parameters (Å, degrees): 7.5790 7.5790 4.1007 90.00 90.00 120.00
Atoms (fractional coordinates):
Na 0.0000 0.0000 0.0000
Ce 0.3333 0.6667 0.0000
Ce 0.6667 0.3333 0.0000
Ge 0.0000 0.3365 0.5000
Ge 0.0000 0.6635 0.5000
Ge 0.3365 0.0000 0.5000
Ge 0.3365 0.3365 0.5000
Ge 0.6635 0.0000 0.5000
Ge 0.6635 0.6635 0.5000

Calculated formation energy   -0.353 eV per atom
SG   P6/mmm, No. 191